# 1
A plane-wave DFT calculation with PBE-GGA was carried out for a geometry-optimized CeNd2TmTe5 structure.

a = 5.494 Å, b = 5.494 Å, c = 11.857 Å
α = 90.00°, β = 90.00°, γ = 90.00°
Element x y z (fractional)
1 Ce 0.000 0.000 0.000
2 Nd 0.500 0.500 0.342
3 Nd 0.500 0.500 0.658
4 Tm 0.000 0.000 0.500
5 Te 0.000 0.000 0.253
6 Te 0.000 0.000 0.747
7 Te 0.000 0.500 0.500
8 Te 0.500 0.000 0.500
9 Te 0.500 0.500 0.000

Computed properties:
ΔE_f (raw) = -81.8 kJ per mole of atoms
Space group = No. 123

---

# 2
A plane-wave DFT calculation with PBE-GGA was carried out for a geometry-optimized Ce3Nd2TmTe6 structure.

a = 10.001 Å, b = 10.001 Å, c = 9.005 Å
α = 103.47°, β = 103.47°, γ = 25.58°
Element x y z (fractional)
1 Ce 0.000 0.000 0.000
2 Ce 0.329 0.329 0.665
3 Ce 0.671 0.671 0.335
4 Nd 0.332 0.332 0.165
5 Nd 0.668 0.668 0.835
6 Tm 0.000 0.000 0.500
7 Te 0.161 0.161 0.581
8 Te 0.166 0.166 0.084
9 Te 0.499 0.499 0.738
10 Te 0.501 0.501 0.262
11 Te 0.834 0.834 0.916
12 Te 0.839 0.839 0.419

Computed properties:
ΔE_f (raw) = -131.4 kJ per mole of atoms
Space group = No. 12

---

# 3
A plane-wave DFT calculation with PBE-GGA was carried out for a geometry-optimized Ce2NdY3Te6 structure.

a = 9.945 Å, b = 9.945 Å, c = 8.950 Å
α = 104.12°, β = 104.12°, γ = 25.50°
Element x y z (fractional)
1 Ce 0.167 0.167 0.334
2 Ce 0.833 0.833 0.666
3 Nd 0.500 0.500 0.000
4 Y 0.165 0.165 0.833
5 Y 0.500 0.500 0.500
6 Y 0.835 0.835 0.167
7 Te 0.001 0.001 0.743
8 Te 0.330 0.330 0.922
9 Te 0.336 0.336 0.410
10 Te 0.664 0.664 0.590
11 Te 0.670 0.670 0.078
12 Te 0.999 0.999 0.257

Computed properties:
ΔE_f (raw) = -131.1 kJ per mole of atoms
Space group = No. 12

---

# 4
A plane-wave DFT calculation with PBE-GGA was carried out for a geometry-optimized Ce3Nd3YTe8 structure.

a = 8.978 Å, b = 8.978 Å, c = 8.978 Å
α = 59.72°, β = 59.72°, γ = 59.72°
Element x y z (fractional)
1 Ce 0.000 0.500 0.500
2 Ce 0.500 0.000 0.500
3 Ce 0.500 0.500 0.000
4 Nd 0.000 0.000 0.500
5 Nd 0.000 0.500 0.000
6 Nd 0.500 0.000 0.000
7 Y 0.500 0.500 0.500
8 Te 0.250 0.250 0.250
9 Te 0.251 0.251 0.749
10 Te 0.251 0.749 0.251
11 Te 0.251 0.749 0.749
12 Te 0.749 0.251 0.251
13 Te 0.749 0.251 0.749
14 Te 0.749 0.749 0.251
15 Te 0.750 0.750 0.750

Computed properties:
ΔE_f (raw) = -137.7 kJ per mole of atoms
Space group = No. 166

---

# 5
A plane-wave DFT calculation with PBE-GGA was carried out for a geometry-optimized Ce3NdY2Te6 structure.

a = 7.673 Å, b = 7.673 Å, c = 7.776 Å
α = 99.46°, β = 99.46°, γ = 120.06°
Element x y z (fractional)
1 Ce 0.000 0.000 0.000
2 Ce 0.338 0.662 0.000
3 Ce 0.662 0.338 0.000
4 Nd 0.500 0.500 0.500
5 Y 0.168 0.832 0.500
6 Y 0.832 0.168 0.500
7 Te 0.078 0.418 0.255
8 Te 0.239 0.239 0.740
9 Te 0.418 0.078 0.255
10 Te 0.582 0.922 0.745
11 Te 0.761 0.761 0.260
12 Te 0.922 0.582 0.745

Computed properties:
ΔE_f (raw) = -132.0 kJ per mole of atoms
Space group = No. 12

---

# 6
A plane-wave DFT calculation with PBE-GGA was carried out for a geometry-optimized CeNd2Y3Te6 structure.

a = 9.940 Å, b = 9.940 Å, c = 8.952 Å
α = 103.90°, β = 103.90°, γ = 25.53°
Element x y z (fractional)
1 Ce 0.000 0.000 0.000
2 Nd 0.334 0.334 0.667
3 Nd 0.666 0.666 0.333
4 Y 0.000 0.000 0.500
5 Y 0.332 0.332 0.165
6 Y 0.668 0.668 0.835
7 Te 0.164 0.164 0.590
8 Te 0.168 0.168 0.077
9 Te 0.497 0.497 0.256
10 Te 0.503 0.503 0.744
11 Te 0.832 0.832 0.923
12 Te 0.836 0.836 0.410

Computed properties:
ΔE_f (raw) = -131.6 kJ per mole of atoms
Space group = No. 12

---

# 7
A plane-wave DFT calculation with PBE-GGA was carried out for a geometry-optimized Ce4Nd3YTe8 structure.

a = 8.998 Å, b = 8.998 Å, c = 8.998 Å
α = 59.44°, β = 59.44°, γ = 59.44°
Element x y z (fractional)
1 Ce 0.000 0.000 0.000
2 Ce 0.000 0.500 0.500
3 Ce 0.500 0.000 0.500
4 Ce 0.500 0.500 0.000
5 Nd 0.000 0.000 0.500
6 Nd 0.000 0.500 0.000
7 Nd 0.500 0.000 0.000
8 Y 0.500 0.500 0.500
9 Te 0.250 0.250 0.250
10 Te 0.254 0.254 0.746
11 Te 0.254 0.746 0.254
12 Te 0.254 0.746 0.746
13 Te 0.746 0.254 0.254
14 Te 0.746 0.254 0.746
15 Te 0.746 0.746 0.254
16 Te 0.750 0.750 0.750

Computed properties:
ΔE_f (raw) = -133.9 kJ per mole of atoms
Space group = No. 166

---

# 8
A plane-wave DFT calculation with PBE-GGA was carried out for a geometry-optimized Ce5NdTh4 structure.

a = 3.491 Å, b = 3.491 Å, c = 24.570 Å
α = 90.00°, β = 90.00°, γ = 90.00°
Element x y z (fractional)
1 Ce 0.000 0.000 0.000
2 Ce 0.000 0.000 0.197
3 Ce 0.000 0.000 0.393
4 Ce 0.000 0.000 0.607
5 Ce 0.000 0.000 0.803
6 Nd 0.500 0.500 0.500
7 Th 0.500 0.500 0.098
8 Th 0.500 0.500 0.296
9 Th 0.500 0.500 0.704
10 Th 0.500 0.500 0.902

Computed properties:
Energy relative to the elements = 28 meV/atom
Space group = No. 123

---

# 9
A plane-wave DFT calculation with PBE-GGA was carried out for a geometry-optimized Ce2NdTh9 structure.

a = 5.002 Å, b = 5.002 Å, c = 15.066 Å
α = 90.00°, β = 90.00°, γ = 90.00°
Element x y z (fractional)
1 Ce 0.000 0.000 0.165
2 Ce 0.000 0.000 0.835
3 Nd 0.000 0.000 0.500
4 Th 0.000 0.500 0.000
5 Th 0.000 0.500 0.328
6 Th 0.000 0.500 0.672
7 Th 0.500 0.000 0.000
8 Th 0.500 0.000 0.328
9 Th 0.500 0.000 0.672
10 Th 0.500 0.500 0.163
11 Th 0.500 0.500 0.500
12 Th 0.500 0.500 0.837

Computed properties:
Energy relative to the elements = 36 meV/atom
Space group = No. 123

---

# 10
A plane-wave DFT calculation with PBE-GGA was carried out for a geometry-optimized Ce12NdTh7 structure.

a = 9.608 Å, b = 9.608 Å, c = 9.608 Å
α = 109.47°, β = 109.47°, γ = 109.47°
Element x y z (fractional)
1 Ce 0.093 0.787 0.306
2 Ce 0.213 0.306 0.519
3 Ce 0.213 0.694 0.907
4 Ce 0.306 0.093 0.787
5 Ce 0.306 0.519 0.213
6 Ce 0.481 0.787 0.694
7 Ce 0.519 0.213 0.306
8 Ce 0.694 0.481 0.787
9 Ce 0.694 0.907 0.213
10 Ce 0.787 0.306 0.093
11 Ce 0.787 0.694 0.481
12 Ce 0.907 0.213 0.694
13 Nd 0.000 0.000 0.000
14 Th 0.000 0.000 0.500
15 Th 0.000 0.500 0.000
16 Th 0.000 0.500 0.500
17 Th 0.500 0.000 0.000
18 Th 0.500 0.000 0.500
19 Th 0.500 0.500 0.000
20 Th 0.500 0.500 0.500

Computed properties:
Energy relative to the elements = 801 meV/atom
Space group = No. 204

---

# 11
A plane-wave DFT calculation with PBE-GGA was carried out for a geometry-optimized CeNd14Th structure.

a = 7.315 Å, b = 7.315 Å, c = 10.421 Å
α = 90.00°, β = 90.00°, γ = 90.00°
Element x y z (fractional)
1 Ce 0.000 0.000 0.000
2 Nd 0.000 0.000 0.500
3 Nd 0.000 0.500 0.000
4 Nd 0.000 0.500 0.500
5 Nd 0.251 0.251 0.246
6 Nd 0.251 0.251 0.754
7 Nd 0.251 0.749 0.246
8 Nd 0.251 0.749 0.754
9 Nd 0.500 0.000 0.000
10 Nd 0.500 0.000 0.500
11 Nd 0.500 0.500 0.500
12 Nd 0.749 0.251 0.246
13 Nd 0.749 0.251 0.754
14 Nd 0.749 0.749 0.246
15 Nd 0.749 0.749 0.754
16 Th 0.500 0.500 0.000

Computed properties:
Energy relative to the elements = 42 meV/atom
Space group = No. 123

---

# 12
A plane-wave DFT calculation with PBE-GGA was carried out for a geometry-optimized CeNdTh14 structure.

a = 7.101 Å, b = 7.101 Å, c = 10.149 Å
α = 90.00°, β = 90.00°, γ = 90.00°
Element x y z (fractional)
1 Ce 0.000 0.000 0.000
2 Nd 0.500 0.500 0.000
3 Th 0.000 0.000 0.500
4 Th 0.000 0.500 0.000
5 Th 0.000 0.500 0.500
6 Th 0.248 0.248 0.251
7 Th 0.248 0.248 0.749
8 Th 0.248 0.752 0.251
9 Th 0.248 0.752 0.749
10 Th 0.500 0.000 0.000
11 Th 0.500 0.000 0.500
12 Th 0.500 0.500 0.500
13 Th 0.752 0.248 0.251
14 Th 0.752 0.248 0.749
15 Th 0.752 0.752 0.251
16 Th 0.752 0.752 0.749

Computed properties:
Energy relative to the elements = 39 meV/atom
Space group = No. 123